(1)
Here is KLiHgRh2 after structural relaxation from the Alexandria database. Energies are from PBE.

a b c (Å): 5.1229 5.1229 5.7551
angles (deg): 90.00 90.00 90.00
Atoms (fractional coordinates):
K1 0.0000 0.0000 0.0000
Li1 0.5000 0.5000 0.0000
Hg1 0.0000 0.0000 0.5000
Rh1 0.0000 0.5000 0.5000
Rh2 0.5000 0.0000 0.5000

Output
Crystal system: tetragonal
E_form: 0.9524 eV per atom



(2)
Here is Ba4Sr15Mg after structural relaxation from the Alexandria database. Energies are from PBE.

a b c (Å): 6.0832 6.0832 29.6124
angles (deg): 90.00 90.00 90.00
Atoms (fractional coordinates):
Ba1 0.0000 0.0000 0.1045
Ba2 0.0000 0.0000 0.3128
Ba3 0.0000 0.0000 0.6872
Ba4 0.0000 0.0000 0.8955
Sr1 0.0000 0.5000 0.0000
Sr2 0.0000 0.5000 0.2091
Sr3 0.0000 0.5000 0.4177
Sr4 0.0000 0.5000 0.5823
Sr5 0.0000 0.5000 0.7909
Sr6 0.5000 0.0000 0.0000
Sr7 0.5000 0.0000 0.2091
Sr8 0.5000 0.0000 0.4177
Sr9 0.5000 0.0000 0.5823
Sr10 0.5000 0.0000 0.7909
Sr11 0.5000 0.5000 0.1044
Sr12 0.5000 0.5000 0.3153
Sr13 0.5000 0.5000 0.5000
Sr14 0.5000 0.5000 0.6847
Sr15 0.5000 0.5000 0.8956
Mg1 0.0000 0.0000 0.5000

Output
Crystal system: tetragonal
E_form: 0.0152 eV per atom



(3)
Here is Tb7Dy3Tm2 after structural relaxation from the Alexandria database. Energies are from PBE.

a b c (Å): 5.7654 3.5472 18.5841
angles (deg): 90.00 93.44 90.00
Atoms (fractional coordinates):
Tb1 0.0000 0.0000 0.0000
Tb2 0.1843 0.5000 0.1804
Tb3 0.2577 0.5000 0.5361
Tb4 0.3178 0.0000 0.8557
Tb5 0.6822 0.0000 0.1443
Tb6 0.7423 0.5000 0.4639
Tb7 0.8157 0.5000 0.8196
Dy1 0.2188 0.0000 0.3669
Dy2 0.5000 0.5000 0.0000
Dy3 0.7812 0.0000 0.6331
Tm1 0.2928 0.5000 0.7049
Tm2 0.7072 0.5000 0.2951

Output
Crystal system: monoclinic
Offset from the most stable computed form: 0 meV per atom
E_form: 0.0902 eV per atom



(4)
Here is KAlRh after structural relaxation from the Alexandria database. Energies are from PBE.

a b c (Å): 4.6334 4.6334 4.6334
angles (deg): 60.00 60.00 60.00
Atoms (fractional coordinates):
K1 0.0000 0.0000 0.0000
Al1 0.5000 0.5000 0.5000
Rh1 0.2500 0.2500 0.2500

Output
Crystal system: cubic
Offset from the most stable computed form: 640 meV per atom
E_form: 0.4663 eV per atom



(5)
Here is SrLaPdPt after structural relaxation from the Alexandria database. Energies are from PBE.

a b c (Å): 5.1974 5.1974 5.1974
angles (deg): 60.00 60.00 60.00
Atoms (fractional coordinates):
Sr1 0.0000 0.0000 0.0000
La1 0.5000 0.5000 0.5000
Pd1 0.7500 0.7500 0.7500
Pt1 0.2500 0.2500 0.2500

Output
Crystal system: cubic
Offset from the most stable computed form: 66 meV per atom
E_form: -0.8177 eV per atom



(6)
Here is SmPuZnGa after structural relaxation from the Alexandria database. Energies are from PBE.

a b c (Å): 5.1165 5.1165 5.1165
angles (deg): 60.00 60.00 60.00
Atoms (fractional coordinates):
Sm1 0.0000 0.0000 0.0000
Pu1 0.5000 0.5000 0.5000
Zn1 0.2500 0.2500 0.2500
Ga1 0.7500 0.7500 0.7500

Output
Crystal system: cubic
E_form: -0.2867 eV per atom



(7)
Here is KRb2NbBr6 after structural relaxation from the Alexandria database. Energies are from PBE.

a b c (Å): 7.7733 11.5758 8.8599
angles (deg): 90.00 90.00 90.00
Atoms (fractional coordinates):
K1 0.2500 0.2500 0.1976
K2 0.7500 0.7500 0.8024
Rb1 0.2500 0.0389 0.6860
Rb2 0.2500 0.4611 0.6860
Rb3 0.7500 0.5389 0.3140
Rb4 0.7500 0.9611 0.3140
Nb1 0.2500 0.7500 0.2958
Nb2 0.7500 0.2500 0.7042
Br1 0.0034 0.7500 0.0895
Br2 0.0139 0.7500 0.5146
Br3 0.2500 0.5197 0.2940
Br4 0.2500 0.9803 0.2940
Br5 0.4861 0.7500 0.5146
Br6 0.4966 0.7500 0.0895
Br7 0.5034 0.2500 0.9105
Br8 0.5139 0.2500 0.4854
Br9 0.7500 0.0197 0.7060
Br10 0.7500 0.4803 0.7060
Br11 0.9861 0.2500 0.4854
Br12 0.9966 0.2500 0.9105

Output
Crystal system: orthorhombic
Formation energy (no corrections): -1.341 eV per atom
Offset from the most stable computed form: 0 meV per atom



(8)
Here is Tm4Zn2Os after structural relaxation from the Alexandria database. Energies are from PBE.

a b c (Å): 8.3603 8.3603 8.3603
angles (deg): 34.01 34.01 34.01
Atoms (fractional coordinates):
Tm1 0.1221 0.1221 0.1221
Tm2 0.3742 0.3742 0.3742
Tm3 0.6258 0.6258 0.6258
Tm4 0.8779 0.8779 0.8779
Zn1 0.2506 0.2506 0.2506
Zn2 0.7494 0.7494 0.7494
Os1 0.0000 0.0000 0.0000

Output
Crystal system: trigonal
Offset from the most stable computed form: 0 meV per atom
E_form: -0.2281 eV per atom



Number 1: E_tot -2.6508 eV/atom, volume 30.2 A^3/atom. Number 2: E_tot -1.7105 eV/atom, volume 54.8 A^3/atom. Number 3: E_tot -4.5066 eV/atom, volume 31.6 A^3/atom. Number 4: E_tot -3.5975 eV/atom, volume 23.4 A^3/atom. Number 5: E_tot -5.2784 eV/atom, volume 24.8 A^3/atom. Number 6: E_tot -6.1247 eV/atom, volume 23.7 A^3/atom. Number 7: E_tot -3.6554 eV/atom, volume 39.9 A^3/atom. Number 8: E_tot -4.7515 eV/atom, volume 23.3 A^3/atom.